! PBE+U In2NiF, optimized geometry; values from VASP
&SYSTEM
  ibrav = 0, nat = 4, ntyp = 3
/
ATOMIC_SPECIES
In 114.82 In.upf
Ni 58.69 Ni.upf
F 19.00 F.upf
CELL_PARAMETERS angstrom
0.0000 3.2219 3.2219
3.2219 0.0000 3.2219
3.2219 3.2219 0.0000
ATOMIC_POSITIONS angstrom
In 1.6109 1.6109 1.6109
In 4.8328 4.8328 4.8328
Ni 0.0000 0.0000 0.0000
F 3.2219 3.2219 3.2219
! Polymorph energy (0 for the lowest one), meV per atom: 0
! Magnetization, Bohr magnetons per cell: 0.00
! Mass density, g/cm³: 7.630